# 1
# PBE Ac5Tl4Ge, relaxed
# DFT total energy in eV/atom: -3.860
# Crystal system: tetragonal
# Energy above the lowest structure with this stoichiometry in meV per atom: 0
# Energy of formation in meV per atom: -397.1
data_Ac5Tl4Ge
_chemical_formula_sum 'Ac5 Tl4 Ge1'
_space_group_name_H-M_alt 'P 4/m m m'
_space_group_IT_number 123
_space_group_name_Hall '-P 4 2'
_cell_length_a 4.115
_cell_length_b 4.115
_cell_length_c 20.164
_cell_angle_alpha 90.00
_cell_angle_beta 90.00
_cell_angle_gamma 90.00
loop_
_atom_site_label
_atom_site_type_symbol
_atom_site_fract_x
_atom_site_fract_y
_atom_site_fract_z
_atom_site_occupancy
Ac1 Ac 0.000 0.000 0.000 1
Ac2 Ac 0.000 0.000 0.207 1
Ac3 Ac 0.000 0.000 0.416 1
Tl1 Tl 0.500 0.500 0.103 1
Tl2 Tl 0.500 0.500 0.308 1
Ge1 Ge 0.500 0.500 0.500 1

# 2
# PBE Ac5Tl2Ge2, relaxed
# DFT total energy in eV/atom: -4.167
# Crystal system: orthorhombic
# Energy above the lowest structure with this stoichiometry in meV per atom: 161
# Energy of formation in meV per atom: -332.4
data_Ac5Tl2Ge2
_chemical_formula_sum 'Ac20 Tl8 Ge8'
_space_group_name_H-M_alt 'I m a 2'
_space_group_IT_number 46
_cell_length_a 18.309
_cell_length_b 7.777
_cell_length_c 9.215
_cell_angle_alpha 90.00
_cell_angle_beta 90.00
_cell_angle_gamma 90.00
loop_
_space_group_symop_operation_xyz
'x,y,z'
'-x,-y,z'
'-x+1/2,y,z'
'x+1/2,-y,z'
'x+1/2,y+1/2,z+1/2'
'-x+1/2,-y+1/2,z+1/2'
'-x,y+1/2,z+1/2'
'x,-y+1/2,z+1/2'
loop_
_atom_site_label
_atom_site_type_symbol
_atom_site_fract_x
_atom_site_fract_y
_atom_site_fract_z
_atom_site_occupancy
Ac1 Ac 0.066 0.217 0.000 1
Ac2 Ac 0.149 0.676 0.077 1
Ac3 Ac 0.250 0.121 0.240 1
Tl1 Tl 0.000 0.000 0.736 1
Tl2 Tl 0.250 0.518 0.385 1
Ge1 Ge 0.063 0.572 0.773 1

# 3
# PBE Ac4TlGe2, relaxed
# DFT total energy in eV/atom: -4.439
# Crystal system: monoclinic
# Energy above the lowest structure with this stoichiometry in meV per atom: 97
# Energy of formation in meV per atom: -433.6
data_Ac4TlGe2
_chemical_formula_sum 'Ac16 Tl4 Ge8'
_space_group_name_H-M_alt 'C 1 2/c 1'
_space_group_IT_number 15
_cell_length_a 14.402
_cell_length_b 10.397
_cell_length_c 10.243
_cell_angle_alpha 90.00
_cell_angle_beta 134.63
_cell_angle_gamma 90.00
loop_
_space_group_symop_operation_xyz
'x,y,z'
'-x,-y,-z'
'-x,y,-z+1/2'
'x,-y,z+1/2'
'x+1/2,y+1/2,z'
'-x+1/2,-y+1/2,-z'
'-x+1/2,y+1/2,-z+1/2'
'x+1/2,-y+1/2,z+1/2'
loop_
_atom_site_label
_atom_site_type_symbol
_atom_site_fract_x
_atom_site_fract_y
_atom_site_fract_z
_atom_site_occupancy
Ac1 Ac 0.002 0.203 0.070 1
Ac2 Ac 0.182 0.453 0.930 1
Tl1 Tl 0.000 0.125 0.750 1
Ge1 Ge 0.000 0.500 0.000 1
Ge2 Ge 0.250 0.250 0.500 1